# 1
MnVPS2 | PBE-GGA | relaxed

Output
- raw total energy (eV/atom) = -6.20

abc: 4.497 4.497 4.737
angles: 90.00 90.00 90.00
Atoms (fractional coordinates):
Mn  0.000  0.000  0.000
V  0.500  0.500  0.500
P  0.500  0.500  0.000
S  0.000  0.500  0.500
S  0.500  0.000  0.500

***

# 2
MnVP2S | PBE-GGA | relaxed

Output
- raw total energy (eV/atom) = -6.18

abc: 4.261 4.261 4.862
angles: 90.00 90.00 90.00
Atoms (fractional coordinates):
Mn  0.000  0.000  0.000
V  0.500  0.500  0.500
P  0.000  0.500  0.000
P  0.500  0.000  0.000
S  0.000  0.000  0.500

***

# 3
MnVP2S | PBE-GGA | relaxed

Output
- raw total energy (eV/atom) = -6.30

abc: 4.592 4.592 4.475
angles: 90.00 90.00 90.00
Atoms (fractional coordinates):
Mn  0.000  0.000  0.000
V  0.500  0.500  0.500
P  0.000  0.500  0.500
P  0.500  0.000  0.500
S  0.500  0.500  0.000

***

# 4
MnP2WS | PBE-GGA | relaxed

Output
- raw total energy (eV/atom) = -6.36

abc: 4.336 4.336 4.372
angles: 90.00 90.00 90.00
Atoms (fractional coordinates):
Mn  0.000  0.000  0.000
P  0.000  0.500  0.000
P  0.500  0.000  0.000
W  0.500  0.500  0.500
S  0.000  0.000  0.500

***

| no. | excess energy over the best structure of this formula in the dataset (meV/atom) | formation energy without anion corrections (eV per atom) |
| --- | --- | --- |
| 1 | 0 | 0.1868 |
| 2 | 118 | 0.4667 |
| 3 | 0 | 0.3487 |
| 4 | 0 | 1.0528 |